# 1
Entry from Alexandria via LeMat-Bulk: crystalline LiYScAg at its relaxed geometry (GGA-PBE).

```
LiYScAg
1.0
5.021 0.000 0.000
2.510 4.348 0.000
2.510 1.449 4.099
Li Y Sc Ag
1 1 1 1
direct
0.000 0.000 0.000
0.750 0.750 0.750
0.250 0.250 0.250
0.500 0.500 0.500
```

Summary:
uncorrected energy: -17.90 eV/f.u.
crystal system: cubic
total moment: 0.0 μB/f.u.
space-group type: F-43m, No. 216
E_form: -0.084 eV per atom

***

# 2
Entry from Alexandria via LeMat-Bulk: crystalline Li2ScZn2Ag2 at its relaxed geometry (GGA-PBE).

```
Li2ScZn2Ag2
1.0
-0.176 -2.993 2.232
4.532 1.939 -0.173
-2.456 3.971 5.131
Ag Sc Zn Li
2 1 2 2
direct
0.727 0.453 0.170
0.273 0.547 0.830
0.000 0.000 0.000
0.559 0.118 0.701
0.441 0.882 0.299
0.144 0.287 0.435
0.856 0.713 0.565
```

Summary:
uncorrected energy: -19.94 eV/f.u.
crystal system: monoclinic
total moment: 0.0 μB/f.u.
space-group type: C2/m, No. 12
E_form: -0.218 eV per atom

***

# 3
Entry from Alexandria via LeMat-Bulk: crystalline LiAg2Se at its relaxed geometry (GGA-PBE).

```
LiAg2Se
1.0
6.140 -0.080 -0.116
-3.508 5.039 -0.116
0.747 1.408 2.396
Ag Li Se
2 1 1
direct
0.500 0.500 0.000
0.000 0.000 0.000
0.500 0.000 0.500
0.000 0.500 0.500
```

Summary:
uncorrected energy: -11.85 eV/f.u.
crystal system: monoclinic
total moment: 0.0 μB/f.u.
space-group type: C2/m, No. 12
formation energy (no corrections): -18 kJ/mol of atoms